No. 1
{
  "formula": "Pm2SmAg4",
  "functional": "PBE",
  "state": "optimized geometry",
  "dft_energy_ha_per_atom": -0.1380,
  "delta_e_f_kj_per_mol_atoms": -9.1,
  "lattice": [[-2.718, 2.718, 6.421], [2.718, -2.718, 6.421], [2.718, 2.718, -6.421]],
  "species": ["Pm", "Pm", "Sm", "Ag", "Ag", "Ag", "Ag"],
  "frac_coords": [[0.221, 0.221, 0.000], [0.779, 0.779, 0.000], [0.500, 0.500, 0.000], [0.118, 0.618, 0.500], [0.382, 0.882, 0.500], [0.618, 0.118, 0.500], [0.882, 0.382, 0.500]]
}

No. 2
{
  "formula": "Cu2WAu",
  "functional": "PBE",
  "state": "optimized geometry",
  "dft_energy_ha_per_atom": -0.2083,
  "delta_e_f_kj_per_mol_atoms": 42.2,
  "lattice": [[2.686, 0.000, 0.000], [0.000, 4.643, 0.000], [0.000, 0.000, 4.858]],
  "species": ["Cu", "Cu", "W", "Au"],
  "frac_coords": [[0.000, 0.000, 0.000], [0.500, 0.000, 0.500], [0.000, 0.500, 0.500], [0.500, 0.500, 0.000]]
}

No. 3
{
  "formula": "Hf2TaMo",
  "functional": "PBE",
  "state": "optimized geometry",
  "dft_energy_ha_per_atom": -0.3666,
  "delta_e_f_kj_per_mol_atoms": 64.8,
  "lattice": [[-3.762, 3.762, 2.866], [3.762, -3.762, 2.866], [3.762, 3.762, -2.866]],
  "species": ["Hf", "Hf", "Hf", "Hf", "Ta", "Ta", "Mo", "Mo"],
  "frac_coords": [[0.108, 0.625, 0.983], [0.375, 0.358, 0.483], [0.642, 0.125, 0.017], [0.875, 0.892, 0.517], [0.250, 0.750, 0.500], [0.500, 0.500, 0.000], [0.000, 0.000, 0.000], [0.750, 0.250, 0.500]]
}

No. 4
{
  "formula": "Ti2ZnH",
  "functional": "PBE",
  "state": "optimized geometry",
  "dft_energy_ha_per_atom": -0.1942,
  "lattice": [[1.456, 0.841, 6.964], [-1.456, 0.841, 6.964], [0.000, -1.681, 6.964]],
  "species": ["Ti", "Ti", "Zn", "H"],
  "frac_coords": [[0.225, 0.225, 0.225], [0.775, 0.775, 0.775], [0.000, 0.000, 0.000], [0.500, 0.500, 0.500]]
}

Values of N(E_F), in order: 0.89, 0.68, 1.33, 0.80, all in states/eV/atom.